DFT (PBE-GGA) results for crystalline NdI3O9 at its relaxed geometry.

Results
formation energy (no corrections) = -588.2 meV per atom
energy = -4.745 eV per atom
distance to the lowest polymorph of the same formula = 397 meV per atom

Cell lengths 7.004, 8.721, 6.918 Å; angles 90.00, 90.00, 90.00 degrees
Fractional positions:
Nd 0.250 0.250 0.015
Nd 0.750 0.750 0.985
I 0.030 0.750 0.525
I 0.250 0.750 0.974
I 0.470 0.750 0.525
I 0.530 0.250 0.475
I 0.750 0.250 0.026
I 0.970 0.250 0.475
O 0.051 0.250 0.725
O 0.058 0.608 0.874
O 0.058 0.892 0.874
O 0.250 0.250 0.366
O 0.250 0.600 0.461
O 0.250 0.900 0.461
O 0.442 0.608 0.874
O 0.442 0.892 0.874
O 0.449 0.250 0.725
O 0.551 0.750 0.275
O 0.558 0.108 0.126
O 0.558 0.392 0.126
O 0.750 0.100 0.539
O 0.750 0.400 0.539
O 0.750 0.750 0.634
O 0.942 0.108 0.126
O 0.942 0.392 0.126
O 0.949 0.750 0.275